Density functional theory data (PBE) for an optimized crystal structure of GaCuSn.

Cell: 5.256 5.375 5.256 Å, 103.98 59.92 76.02°
Fractional coordinates of all 6 atoms:
1 Ga 0.960 0.514 0.242
2 Ga 0.280 0.514 0.562
3 Cu 0.370 0.014 0.652
4 Cu 0.870 0.014 0.152
5 Sn 0.462 0.829 0.060
6 Sn 0.778 0.198 0.744

Values from the calculation:
**Total moment**: 0.00 μB per formula unit
**Calculated density**: 7.44 g cm⁻³
**Space group**: C2/m
**Energy of formation from the pure elements**: 0.02 eV/atom